Arrangement a

La3NiRu | Alexandria via LeMat-Bulk | PBE-GGA | relaxed; calculated volume = 291.04 Å³ per cell; magnetization = 0.0 μB per formula unit
1.0
5.6816 0.0042 0.9964
-2.7760 6.5299 -0.8411
1.4579 -3.4555 8.2854
Ru La Ni
2 6 2
Direct
0.8253 0.7664 0.1224
0.1747 0.2336 0.8776
0.6676 0.7401 0.4083
0.6626 0.2545 0.9241
0.3374 0.7455 0.0759
0.0045 0.7657 0.7605
0.3324 0.2599 0.5917
0.9955 0.2343 0.2395
0.5116 0.7500 0.7317
0.4884 0.2500 0.2683

Arrangement b

La3NiRu | Alexandria via LeMat-Bulk | PBE-GGA | relaxed; calculated volume = 263.10 Å³ per cell; magnetization = 0.0 μB per formula unit
1.0
3.9678 0.0003 0.0005
-0.0004 6.6257 0.0036
-0.0014 -0.0050 10.0078
Ru La Ni
2 6 2
Direct
0.2500 0.0441 0.2500
0.7500 0.9559 0.7500
0.2500 0.7602 0.9364
0.7500 0.2398 0.4364
0.2500 0.7602 0.5636
0.7500 0.2398 0.0636
0.2500 0.2522 0.7500
0.7500 0.7478 0.2500
0.7500 0.5622 0.7500
0.2500 0.4378 0.2500

Stability check: which of them is most stable? arrangement b.

Arrangement a

LaNi2Ru2 | Alexandria via LeMat-Bulk | PBE-GGA | relaxed; calculated volume = 83.79 Å³ per cell; magnetization = 0.0 μB per formula unit
1.0
-2.7887 1.9168 -1.8462
-2.3185 -0.4368 3.0485
-0.6421 5.5905 2.7499
Ru La Ni
2 1 2
Direct
0.7500 0.2500 0.5000
0.2500 0.7500 0.5000
0.0000 0.0000 0.0000
0.3924 0.3924 0.2152
0.6076 0.6076 0.7848

Arrangement b

LaNi2Ru2 | Alexandria via LeMat-Bulk | PBE-GGA | relaxed; calculated volume = 157.42 Å³ per cell; magnetization = 1.6 μB per formula unit
1.0
-0.4322 4.6275 -5.7852
-6.1074 3.0574 2.9019
1.6152 1.8992 1.3984
Ru Ni La
4 4 2
Direct
0.8771 0.6229 0.0000
0.1229 0.3771 0.0000
0.3771 0.8771 0.0000
0.6229 0.1229 0.0000
0.8284 0.3284 0.5000
0.6716 0.8284 0.5000
0.3284 0.1716 0.5000
0.1716 0.6716 0.5000
0.0000 0.0000 0.0000
0.5000 0.5000 0.0000

Stability check: which of them is most stable? arrangement a.

Arrangement a

La2Ni2Sb | Alexandria via LeMat-Bulk | PBE-GGA | relaxed; calculated volume = 119.22 Å³ per cell; magnetization = 0.0 μB per formula unit
1.0
-2.4609 2.4780 -1.2904
-2.7118 -1.7048 1.8978
-1.0334 5.4556 7.0762
Ni La Sb
2 2 1
Direct
0.2500 0.7500 0.5000
0.7500 0.2500 0.5000
0.6252 0.6252 0.7496
0.3748 0.3748 0.2504
0.0000 0.0000 0.0000

Arrangement b

La2Ni2Sb | Alexandria via LeMat-Bulk | PBE-GGA | relaxed; calculated volume = 119.16 Å³ per cell; magnetization = 0.0 μB per formula unit
1.0
-2.0950 -3.7845 -3.4873
3.3644 -3.8563 2.1638
-2.0703 -4.7205 1.9401
Sb Ni La
1 2 2
Direct
0.0000 0.0000 0.0000
0.3504 0.3504 0.2993
0.6496 0.6496 0.7007
0.7500 0.2500 0.5000
0.2500 0.7500 0.5000

Stability check: which of them is most stable? arrangement b.

Arrangement a

LaSc3Ni | Alexandria via LeMat-Bulk | PBE-GGA | relaxed; calculated volume = 126.90 Å³ per cell; magnetization = 0.0 μB per formula unit
1.0
5.0252 0.0000 0.0000
0.0000 5.0252 0.0000
0.0000 0.0000 5.0252
Ni Sc La
1 3 1
Direct
0.0000 0.0000 0.0000
0.5000 0.0000 0.0000
0.0000 0.0000 0.5000
0.0000 0.5000 0.0000
0.5000 0.5000 0.5000

Arrangement b

LaSc3Ni | Alexandria via LeMat-Bulk | PBE-GGA | relaxed; calculated volume = 132.66 Å³ per cell; magnetization = 0.0 μB per formula unit
1.0
-4.0954 1.3596 -2.7186
-1.8233 -4.7485 0.3719
-2.4320 1.2706 4.2991
La Ni Sc
1 1 3
Direct
0.0000 0.0000 0.0000
0.5000 0.5000 0.5000
0.5000 0.0000 0.0000
0.0000 0.0000 0.5000
0.0000 0.5000 0.0000

Stability check: which of them is most stable? arrangement a.

Arrangement a

La2ScNi | Alexandria via LeMat-Bulk | PBE-GGA | relaxed; calculated volume = 106.42 Å³ per cell; magnetization = 0.0 μB per formula unit
1.0
-0.5647 0.1746 6.3419
-4.5308 -3.5289 2.7547
5.2490 0.1302 -3.6056
La Ni Sc
2 1 1
Direct
0.6996 0.1996 0.5000
0.0042 0.0042 0.0000
0.4838 0.4838 0.0000
0.3124 0.8124 0.5000

Arrangement b

La2ScNi | Alexandria via LeMat-Bulk | PBE-GGA | relaxed; calculated volume = 99.49 Å³ per cell; magnetization = 0.0 μB per formula unit
1.0
-1.4130 -3.1982 -1.1773
-0.5885 -1.6037 5.0630
-4.6288 2.0088 0.0983
Ni La Sc
1 2 1
Direct
0.5000 0.0000 0.5000
0.0000 0.0000 0.0000
0.5000 0.5000 0.0000
0.0000 0.5000 0.5000

Arrangement c

La2ScNi | Alexandria via LeMat-Bulk | PBE-GGA | relaxed; calculated volume = 103.55 Å³ per cell; magnetization = 0.0 μB per formula unit
1.0
-1.3608 -5.1638 -0.0796
4.6059 -1.2507 2.3967
-1.5879 0.3684 3.2439
Sc Ni La
1 1 2
Direct
0.0000 0.5000 0.5000
0.5000 0.0000 0.5000
0.0000 0.0000 0.0000
0.5000 0.5000 0.0000

Arrangement d

La2ScNi | Alexandria via LeMat-Bulk | PBE-GGA | relaxed; calculated volume = 111.81 Å³ per cell; magnetization = 0.0 μB per formula unit
1.0
-8.9364 2.7053 -1.5149
-8.9989 1.9621 2.1545
-7.7856 5.2893 0.9385
La Sc Ni
2 1 1
Direct
0.9829 0.9829 0.9829
0.5171 0.5171 0.5171
0.7500 0.7500 0.7500
0.2500 0.2500 0.2500

Stability check: which of them is most stable? arrangement a.

Arrangement a

La2ScNi | Alexandria via LeMat-Bulk | PBE-GGA | relaxed; calculated volume = 221.63 Å³ per cell; magnetization = 0.0 μB per formula unit
1.0
8.4061 0.0000 0.0000
0.0000 8.4061 0.0000
4.2030 4.2030 3.1365
Sc La Ni
2 4 2
Direct
0.5000 0.5000 0.0000
0.2500 0.7500 0.5000
0.6924 0.1250 0.2500
0.0576 0.6250 0.2500
0.8750 0.9424 0.7500
0.3750 0.3076 0.7500
0.0000 0.0000 0.0000
0.7500 0.2500 0.5000

Arrangement b

La2ScNi | Alexandria via LeMat-Bulk | PBE-GGA | relaxed; calculated volume = 104.93 Å³ per cell; magnetization = 0.0 μB per formula unit
1.0
3.4179 -0.0114 0.0000
0.0112 3.4179 0.0000
0.0000 0.0000 8.9825
La Sc Ni
2 1 1
Direct
0.0000 0.0000 0.9733
0.5000 0.5000 0.3197
0.5000 0.5000 0.6740
0.0000 0.0000 0.5330

Stability check: which of them is most stable? arrangement b.

Arrangement a

LaNiSe3 | Alexandria via LeMat-Bulk | PBE-GGA | relaxed; calculated volume = 184.83 Å³ per cell; magnetization = 0.8 μB per formula unit
1.0
5.6962 0.0000 0.0000
0.0000 5.6962 0.0000
0.0000 0.0000 5.6962
La Ni Se
1 1 3
Direct
0.0000 0.0000 0.0000
0.5000 0.5000 0.5000
0.5000 0.0000 0.0000
0.0000 0.5000 0.0000
0.0000 0.0000 0.5000

Arrangement b

LaNiSe3 | Alexandria via LeMat-Bulk | PBE-GGA | relaxed; calculated volume = 109.61 Å³ per cell; magnetization = 0.0 μB per formula unit
1.0
4.7858 0.0000 0.0000
0.0000 4.7858 0.0000
0.0000 0.0000 4.7858
Ni La Se
1 1 3
Direct
0.0000 0.0000 0.0000
0.5000 0.5000 0.5000
0.0000 0.0000 0.5000
0.0000 0.5000 0.0000
0.5000 0.0000 0.0000

Stability check: which of them is most stable? arrangement b.

Arrangement a

La2Si3Ni | Alexandria via LeMat-Bulk | PBE-GGA | relaxed; calculated volume = 252.92 Å³ per cell; magnetization = 0.0 μB per formula unit
1.0
5.9856 0.3433 0.0000
0.1106 5.9944 0.0000
-3.0481 -3.1689 7.0563
La Si Ni
4 6 2
Direct
0.2500 0.7500 0.5000
0.7536 0.7536 0.0000
0.7500 0.2500 0.5000
0.2464 0.2464 0.0000
0.6582 0.1714 0.8296
0.1714 0.6582 0.8296
0.8298 0.8298 0.6595
0.1702 0.1702 0.3405
0.8286 0.3418 0.1704
0.3418 0.8286 0.1704
0.3329 0.3329 0.6658
0.6671 0.6671 0.3342

Arrangement b

La2Si3Ni | Alexandria via LeMat-Bulk | PBE-GGA | relaxed; calculated volume = 126.07 Å³ per cell; magnetization = 0.0 μB per formula unit
1.0
-0.5239 -4.0461 0.2629
1.3849 1.6608 -3.4696
8.1839 -0.8747 2.8481
Si Ni La
3 1 2
Direct
0.3333 0.6667 0.5000
0.3333 0.6667 0.0000
0.6667 0.3333 0.5000
0.6667 0.3333 0.0000
0.0000 0.0000 0.7557
0.0000 0.0000 0.2443

Stability check: which of them is most stable? arrangement a.

Arrangement a

La3Si4Ni2 | Alexandria via LeMat-Bulk | PBE-GGA | relaxed; calculated volume = 183.10 Å³ per cell; magnetization = 0.0 μB per formula unit
1.0
-4.0092 -0.7739 -0.0956
2.6724 -3.5698 4.0694
-1.5294 7.4899 3.5089
Si La Ni
4 3 2
Direct
0.2750 0.5499 0.9316
0.1430 0.2859 0.4120
0.8570 0.7141 0.5880
0.7250 0.4501 0.0684
0.0000 0.0000 0.0000
0.3956 0.7912 0.3235
0.6044 0.2088 0.6765
0.6828 0.3656 0.3186
0.3172 0.6344 0.6814

Arrangement b

La3Si4Ni2 | Alexandria via LeMat-Bulk | PBE-GGA | relaxed; calculated volume = 189.13 Å³ per cell; magnetization = 0.0 μB per formula unit
1.0
4.0725 0.0000 0.0000
-2.0362 5.5873 -0.7813
0.0000 0.0232 8.3085
La Ni Si
3 2 4
Direct
0.3355 0.6711 0.3381
0.6645 0.3289 0.6619
0.0000 0.0000 0.0000
0.3925 0.7850 0.7226
0.6075 0.2150 0.2774
0.0548 0.1097 0.3818
0.2795 0.5590 0.9326
0.7205 0.4410 0.0674
0.9452 0.8903 0.6182

Stability check: which of them is most stable? arrangement b.

Arrangement a

La2Si3Ni2 | Alexandria via LeMat-Bulk | PBE-GGA | relaxed; calculated volume = 127.39 Å³ per cell; magnetization = 0.0 μB per formula unit
1.0
3.8907 0.0000 0.0000
-1.9453 5.5675 -0.6172
0.0000 -3.2848 6.2449
Si Ni La
3 2 2
Direct
0.6514 0.3029 0.4342
0.5000 0.0000 0.0000
0.3486 0.6971 0.5658
0.1254 0.2507 0.2160
0.8746 0.7493 0.7840
0.8642 0.7285 0.2370
0.1358 0.2715 0.7630

Arrangement b

La2Si3Ni2 | Alexandria via LeMat-Bulk | PBE-GGA | relaxed; calculated volume = 262.23 Å³ per cell; magnetization = 0.0 μB per formula unit
1.0
-1.4610 2.5672 -3.1724
-5.8911 0.6284 3.2215
3.8803 5.8962 5.9458
Si La Ni
6 4 4
Direct
0.4380 0.9300 0.8760
0.5620 0.0700 0.1240
0.5620 0.4300 0.1240
0.7761 0.2500 0.5522
0.2239 0.7500 0.4478
0.4380 0.5700 0.8760
0.0540 0.7500 0.1080
0.9460 0.2500 0.8920
0.1599 0.2500 0.3198
0.8401 0.7500 0.6802
0.3051 0.4468 0.6102
0.3051 0.0532 0.6102
0.6949 0.9468 0.3898
0.6949 0.5532 0.3898

Stability check: which of them is most stable? arrangement b.

Arrangement a

LaSiNi3 | Alexandria via LeMat-Bulk | PBE-GGA | relaxed; calculated volume = 325.61 Å³ per cell; magnetization = 0.0 μB per formula unit
1.0
-4.2022 0.1159 3.8655
4.7487 -2.9993 1.0336
4.7809 9.2650 4.9196
Ni Si La
12 4 4
Direct
0.8606 0.1394 0.2500
0.0000 0.5000 0.5000
0.7212 0.8606 0.7500
0.8606 0.7212 0.2500
0.5000 0.5000 0.5000
0.5000 0.0000 0.0000
0.5000 0.5000 0.0000
0.5000 0.0000 0.5000
0.0000 0.5000 0.0000
0.1394 0.2788 0.7500
0.1394 0.8606 0.7500
0.2788 0.1394 0.2500
0.6667 0.3333 0.1389
0.3333 0.6667 0.8611
0.6667 0.3333 0.3611
0.3333 0.6667 0.6389
0.6667 0.3333 0.7500
0.0000 0.0000 0.0000
0.3333 0.6667 0.2500
0.0000 0.0000 0.5000

Arrangement b

LaSiNi3 | Alexandria via LeMat-Bulk | PBE-GGA | relaxed; calculated volume = 103.45 Å³ per cell; magnetization = 0.0 μB per formula unit
1.0
4.6944 0.0000 0.0000
0.0000 4.6944 0.0000
0.0000 0.0000 4.6944
Ni La Si
3 1 1
Direct
0.0000 0.0000 0.5000
0.0000 0.5000 0.0000
0.5000 0.0000 0.0000
0.0000 0.0000 0.0000
0.5000 0.5000 0.5000

Stability check: which of them is most stable? arrangement a.